Entry w
Below is an optimized crystal structure of Sm3Ho3Te2Pt, with properties calculated at the PBE level.

size of the total moment	0.0	Bohr magnetons per cell
calculated volume	249.33	Å³/cell
density	9.298	g/cm³
SG	P-62m

a b c (Å): 8.545 8.545 3.943
angles (deg): 90.00 90.00 120.00
Positions (direct):
Sm  0.000  0.250  0.000
Sm  0.250  0.000  0.000
Sm  0.750  0.750  0.000
Ho  0.000  0.597  0.500
Ho  0.403  0.403  0.500
Ho  0.597  0.000  0.500
Te  0.333  0.667  0.000
Te  0.667  0.333  0.000
Pt  0.000  0.000  0.500

=====

Entry x
Below is an optimized crystal structure of Sm3Ho3Te2Pt, with properties calculated at the PBE level.

size of the total moment	0.1	Bohr magnetons per cell
calculated volume	248.34	Å³/cell
density	9.336	g/cm³
SG	P-62m

a b c (Å): 8.445 8.445 4.021
angles (deg): 90.00 90.00 120.00
Positions (direct):
Sm  0.000  0.595  0.000
Sm  0.405  0.405  0.000
Sm  0.595  0.000  0.000
Ho  0.000  0.242  0.500
Ho  0.242  0.000  0.500
Ho  0.758  0.758  0.500
Te  0.333  0.667  0.500
Te  0.667  0.333  0.500
Pt  0.000  0.000  0.000

=====

Stability, lowest: entry w

=====

Entry w
Below is an optimized crystal structure of HoTaPt, with properties calculated at the PBE level.

size of the total moment	1.6	Bohr magnetons per cell
calculated volume	68.94	Å³/cell
density	13.030	g/cm³
SG	F-43m

a b c (Å): 4.603 4.603 4.603
angles (deg): 60.00 60.00 60.00
Positions (direct):
Ho  0.000  0.000  0.000
Ta  0.250  0.250  0.250
Pt  0.750  0.750  0.750

=====

Entry x
Below is an optimized crystal structure of HoTaPt, with properties calculated at the PBE level.

size of the total moment	0.0	Bohr magnetons per cell
calculated volume	68.98	Å³/cell
density	13.022	g/cm³
SG	F-43m

a b c (Å): 4.603 4.603 4.603
angles (deg): 60.00 60.00 60.00
Positions (direct):
Ho  0.000  0.000  0.000
Ta  0.500  0.500  0.500
Pt  0.250  0.250  0.250

=====

Stability, lowest: entry w

=====

Entry w
Below is an optimized crystal structure of Ho3Te5Pt, with properties calculated at the PBE level.

size of the total moment	0.0	Bohr magnetons per cell
calculated volume	242.98	Å³/cell
density	9.075	g/cm³
SG	P-62m

a b c (Å): 8.601 8.601 3.793
angles (deg): 90.00 90.00 120.00
Positions (direct):
Ho  0.000  0.645  0.000
Ho  0.355  0.355  0.000
Ho  0.645  0.000  0.000
Te  0.000  0.242  0.500
Te  0.242  0.000  0.500
Te  0.333  0.667  0.500
Te  0.667  0.333  0.500
Te  0.758  0.758  0.500
Pt  0.000  0.000  0.000

=====

Entry x
Below is an optimized crystal structure of Ho3Te5Pt, with properties calculated at the PBE level.

size of the total moment	0.0	Bohr magnetons per cell
calculated volume	263.94	Å³/cell
density	8.354	g/cm³
SG	P-62m

a b c (Å): 8.714 8.714 4.014
angles (deg): 90.00 90.00 120.00
Positions (direct):
Ho  0.000  0.271  0.000
Ho  0.271  0.000  0.000
Ho  0.729  0.729  0.000
Te  0.000  0.697  0.500
Te  0.303  0.303  0.500
Te  0.333  0.667  0.000
Te  0.667  0.333  0.000
Te  0.697  0.000  0.500
Pt  0.000  0.000  0.500

=====

Stability, lowest: entry w